Entry 1:
Below is a relaxed structure of Pm4DyHo2Mg, with properties calculated at the GGA-PBE level.

Lattice parameters (Å, degrees): 5.0482 5.0482 9.9620 90.00 90.00 90.00
Element x y z (fractional)
1 Pm 0.0000 0.5000 0.2460
2 Pm 0.0000 0.5000 0.7540
3 Pm 0.5000 0.0000 0.2460
4 Pm 0.5000 0.0000 0.7540
5 Dy 0.0000 0.0000 0.5000
6 Ho 0.0000 0.0000 0.0000
7 Ho 0.5000 0.5000 0.5000
8 Mg 0.5000 0.5000 0.0000

Properties
calculated density: 7.17 g cm⁻³
raw total energy: -34.3 eV/cell
SG: No. 123

Entry 2:
Below is a relaxed structure of GdHoMnIn, with properties calculated at the GGA-PBE level.

Lattice parameters (Å, degrees): 5.2164 5.2164 5.2164 60.00 60.00 60.00
Element x y z (fractional)
1 Gd 0.0000 0.0000 0.0000
2 Ho 0.5000 0.5000 0.5000
3 Mn 0.7500 0.7500 0.7500
4 In 0.2500 0.2500 0.2500

Properties
calculated density: 8.14 g cm⁻³
raw total energy: -30.9 eV/cell
SG: No. 216

Entry 3:
Below is a relaxed structure of RbCu2F6, with properties calculated at the GGA-PBE level.

Lattice parameters (Å, degrees): 5.3173 5.3173 6.0565 90.00 90.00 120.00
Element x y z (fractional)
1 Rb 0.0000 0.0000 0.0000
2 Cu 0.3333 0.6667 0.5000
3 Cu 0.6667 0.3333 0.5000
4 F 0.0000 0.3794 0.6788
5 F 0.0000 0.6206 0.3212
6 F 0.3794 0.0000 0.6788
7 F 0.3794 0.3794 0.3212
8 F 0.6206 0.0000 0.3212
9 F 0.6206 0.6206 0.6788

Properties
calculated density: 3.66 g cm⁻³
E above lowest polymorph: 0.41 kcal/mol of atoms
SG: No. 162
formation energy without anion corrections: -1.81 eV/atom

Entry 4:
Below is a relaxed structure of MgScCoSn, with properties calculated at the GGA-PBE level.

Lattice parameters (Å, degrees): 4.5926 4.5926 4.5926 60.00 60.00 60.00
Element x y z (fractional)
1 Mg 0.0000 0.0000 0.0000
2 Sc 0.7500 0.7500 0.7500
3 Co 0.5000 0.5000 0.5000
4 Sn 0.2500 0.2500 0.2500

Properties
calculated density: 5.99 g cm⁻³
raw total energy: -20.0 eV/cell
SG: No. 216

Entry 5:
Below is a relaxed structure of TaNbRuPt, with properties calculated at the GGA-PBE level.

Lattice parameters (Å, degrees): 3.9096 4.0538 4.0962 90.00 90.00 90.00
Element x y z (fractional)
1 Ta 0.0000 0.0000 0.0000
2 Nb 0.0000 0.5000 0.5000
3 Ru 0.5000 0.0000 0.5000
4 Pt 0.5000 0.5000 0.0000

Properties
calculated density: 14.58 g cm⁻³
raw total energy: -39.0 eV/cell
SG: No. 47

Entry 6:
Below is a relaxed structure of Al2TcOs, with properties calculated at the GGA-PBE level.

Lattice parameters (Å, degrees): 8.7914 8.7914 8.7914 18.49 18.49 18.49
Element x y z (fractional)
1 Al 0.0000 0.0000 0.0000
2 Al 0.2440 0.2440 0.2440
3 Tc 0.4948 0.4948 0.4948
4 Os 0.7481 0.7481 0.7481

Properties
calculated density: 9.52 g cm⁻³
E above lowest polymorph: 4.00 kcal/mol of atoms
SG: No. 160

Entry 7:
Below is a relaxed structure of MnAu2I8, with properties calculated at the GGA-PBE level.

Lattice parameters (Å, degrees): 8.4287 8.4287 7.3043 101.17 101.17 85.70
Element x y z (fractional)
1 Mn 0.0000 0.0000 0.0000
2 Au 0.1738 0.1738 0.6221
3 Au 0.8262 0.8262 0.3779
4 I 0.0863 0.7551 0.1813
5 I 0.2360 0.2360 0.3079
6 I 0.2449 0.9137 0.8187
7 I 0.4133 0.4133 0.8296
8 I 0.5867 0.5867 0.1704
9 I 0.7551 0.0863 0.1813
10 I 0.7640 0.7640 0.6921
11 I 0.9137 0.2449 0.8187

Properties
calculated density: 4.87 g cm⁻³
SG: No. 12
formation energy without anion corrections: -0.07 eV/atom

Entry 8:
Below is a relaxed structure of K3AgBr4, with properties calculated at the GGA-PBE level.

Lattice parameters (Å, degrees): 8.7439 11.8074 10.5989 90.00 90.00 90.00
Element x y z (fractional)
1 K 0.0083 0.0325 0.2186
2 K 0.0083 0.4675 0.2186
3 K 0.1058 0.7500 0.4572
4 K 0.3942 0.2500 0.9572
5 K 0.4917 0.5325 0.7186
6 K 0.4917 0.9675 0.7186
7 K 0.5083 0.0325 0.2814
8 K 0.5083 0.4675 0.2814
9 K 0.6058 0.7500 0.0428
10 K 0.8942 0.2500 0.5428
11 K 0.9917 0.5325 0.7814
12 K 0.9917 0.9675 0.7814
13 Ag 0.1788 0.7500 0.0077
14 Ag 0.3212 0.2500 0.5077
15 Ag 0.6788 0.7500 0.4923
16 Ag 0.8212 0.2500 0.9923
17 Br 0.0526 0.2500 0.8235
18 Br 0.2142 0.0326 0.5146
19 Br 0.2142 0.4674 0.5146
20 Br 0.2262 0.7500 0.7431
21 Br 0.2738 0.2500 0.2431
22 Br 0.2858 0.5326 0.0146
23 Br 0.2858 0.9674 0.0146
24 Br 0.4474 0.7500 0.3235
25 Br 0.5526 0.2500 0.6765
26 Br 0.7142 0.0326 0.9854
27 Br 0.7142 0.4674 0.9854
28 Br 0.7262 0.7500 0.7569
29 Br 0.7738 0.2500 0.2569
30 Br 0.7858 0.5326 0.4854
31 Br 0.7858 0.9674 0.4854
32 Br 0.9474 0.7500 0.1765

Properties
calculated density: 3.31 g cm⁻³
E above lowest polymorph: 0.00 kcal/mol of atoms
SG: No. 62
formation energy without anion corrections: -1.36 eV/atom

Entry 9:
Below is a relaxed structure of NaCa2Cu, with properties calculated at the GGA-PBE level.

Lattice parameters (Å, degrees): 3.6221 3.6221 9.2485 90.00 90.00 90.00
Element x y z (fractional)
1 Na 0.0000 0.0000 0.0000
2 Ca 0.5000 0.5000 0.3156
3 Ca 0.5000 0.5000 0.6844
4 Cu 0.0000 0.0000 0.5000

Properties
calculated density: 2.28 g cm⁻³
E above lowest polymorph: 0.78 kcal/mol of atoms
SG: No. 123

Entry 10:
Below is a relaxed structure of TlHg2P, with properties calculated at the GGA-PBE level.

Lattice parameters (Å, degrees): 7.0809 7.0809 7.0809 120.16 120.16 89.72
Element x y z (fractional)
1 Tl 0.0000 0.0000 0.0000
2 Tl 0.7500 0.2500 0.5000
3 Hg 0.1913 0.6250 0.0663
4 Hg 0.3750 0.4413 0.5663
5 Hg 0.5587 0.1250 0.9337
6 Hg 0.8750 0.8087 0.4337
7 P 0.2500 0.7500 0.5000
8 P 0.5000 0.5000 0.0000

Properties
calculated density: 8.44 g cm⁻³
E above lowest polymorph: 2.78 kcal/mol of atoms
SG: No. 122

Entry 11:
Below is a relaxed structure of Sr3Zn2Ni4, with properties calculated at the GGA-PBE level.

Lattice parameters (Å, degrees): 5.8269 5.8269 8.4553 102.52 102.52 42.70
Element x y z (fractional)
1 Sr 0.0000 0.0000 0.0000
2 Sr 0.3771 0.3771 0.6209
3 Sr 0.6229 0.6229 0.3791
4 Zn 0.3220 0.3220 0.2178
5 Zn 0.6780 0.6780 0.7822
6 Ni 0.0888 0.0888 0.6404
7 Ni 0.2489 0.2489 0.9171
8 Ni 0.7511 0.7511 0.0829
9 Ni 0.9112 0.9112 0.3596

Properties
calculated density: 5.51 g cm⁻³
raw total energy: -32.2 eV/cell
SG: No. 12

Entry 12:
Below is a relaxed structure of K2LiAg, with properties calculated at the GGA-PBE level.

Lattice parameters (Å, degrees): 5.9714 5.9714 5.9714 60.00 60.00 60.00
Element x y z (fractional)
1 K 0.2500 0.2500 0.2500
2 K 0.7500 0.7500 0.7500
3 Li 0.0000 0.0000 0.0000
4 Ag 0.5000 0.5000 0.5000

Properties
calculated density: 2.13 g cm⁻³
E above lowest polymorph: 2.67 kcal/mol of atoms
SG: No. 225

Number 1: V 253.9 Å³/cell. Number 2: V 100.4 Å³/cell. Number 3: V 148.3 Å³/cell. Number 4: V 68.5 Å³/cell. Number 5: V 64.9 Å³/cell. Number 6: V 59.7 Å³/cell. Number 7: V 499.1 Å³/cell. Number 8: V 1094.3 Å³/cell. Number 9: V 121.3 Å³/cell. Number 10: V 250.4 Å³/cell. Number 11: V 189.3 Å³/cell. Number 12: V 150.6 Å³/cell.